1.
A plane-wave DFT calculation with GGA-PBE was carried out for a relaxed structure of MgCuAgH2.

Geometry as POSCAR:
```
MgCuAgH2
1.0
3.639 0.000 0.000
0.000 3.639 0.000
0.000 0.000 5.337
Mg Cu Ag H
1 1 1 2
Cartesian
0.000 0.000 0.000
1.820 1.820 0.000
1.820 1.820 2.668
0.000 1.820 2.668
1.820 0.000 2.668
```

Results
Final energy = -2.65 eV/atom
Symmetry = P4/mmm


2.
A plane-wave DFT calculation with GGA-PBE was carried out for a relaxed structure of Mg2CuAgH.

Geometry as POSCAR:
```
Mg2CuAgH
1.0
4.552 0.000 0.000
0.000 4.552 0.000
0.000 0.000 3.439
Mg Cu Ag H
2 1 1 1
Cartesian
0.000 2.276 0.000
2.276 0.000 0.000
0.000 0.000 1.719
2.276 2.276 1.719
0.000 0.000 0.000
```

Results
Final energy = -2.79 eV/atom
Symmetry = P4/mmm


3.
A plane-wave DFT calculation with GGA-PBE was carried out for a relaxed structure of MgCu2AgH.

Geometry as POSCAR:
```
MgCu2AgH
1.0
3.836 0.000 0.000
0.000 3.836 0.000
0.000 0.000 4.222
Mg Cu Ag H
1 2 1 1
Cartesian
0.000 0.000 0.000
0.000 1.918 2.111
1.918 0.000 2.111
1.918 1.918 0.000
0.000 0.000 2.111
```

Results
Final energy = -3.17 eV/atom
Symmetry = P4/mmm


4.
A plane-wave DFT calculation with GGA-PBE was carried out for a relaxed structure of Cu2AgHN.

Geometry as POSCAR:
```
Cu2AgHN
1.0
3.734 0.000 0.000
0.000 3.734 0.000
0.000 0.000 4.608
Cu Ag H N
2 1 1 1
Cartesian
0.000 1.867 0.000
1.867 0.000 0.000
0.000 0.000 2.304
1.867 1.867 2.304
0.000 0.000 0.000
```

Results
Final energy = -3.89 eV/atom
Symmetry = P4/mmm


5.
A plane-wave DFT calculation with GGA-PBE was carried out for a relaxed structure of Na2CuAgH6.

Geometry as POSCAR:
```
Na2CuAgH6
1.0
3.640 -3.644 0.000
3.640 3.644 0.000
-3.627 0.000 3.646
Na Cu Ag H
2 1 1 6
Cartesian
3.640 1.823 0.000
3.640 -1.823 0.000
-1.813 0.000 1.823
1.826 0.000 1.823
1.826 1.972 1.823
-1.807 0.000 3.506
-0.040 0.000 1.822
3.693 0.000 1.824
5.460 0.000 0.140
1.826 -1.972 1.823
```

Results
Final energy = -2.98 eV/atom
Symmetry = C2/m


6.
A plane-wave DFT calculation with GGA-PBE was carried out for a relaxed structure of CuNi2AgH.

Geometry as POSCAR:
```
CuNi2AgH
1.0
3.689 0.000 0.000
0.000 3.689 0.000
0.000 0.000 3.908
Cu Ni Ag H
1 2 1 1
Cartesian
0.000 0.000 0.000
0.000 1.844 1.954
1.844 0.000 1.954
1.844 1.844 0.000
0.000 0.000 1.954
```

Results
Symmetry = P4/mmm
Excess energy over the best structure of this formula in the dataset = 0.0 meV/atom


Number 1: size of the total moment 0.00 μB per formula unit, density of states at the Fermi level 0.20 states/eV per atom. Number 2: size of the total moment 0.00 μB per formula unit, density of states at the Fermi level 0.46 states/eV per atom. Number 3: size of the total moment 0.00 μB per formula unit, density of states at the Fermi level 0.22 states/eV per atom. Number 4: size of the total moment 0.92 μB per formula unit, density of states at the Fermi level 0.26 states/eV per atom. Number 5: size of the total moment 0.00 μB per formula unit, density of states at the Fermi level 0.07 states/eV per atom. Number 6: size of the total moment 0.00 μB per formula unit, density of states at the Fermi level 0.95 states/eV per atom.